A geometry-optimized Li4CdGaNi2 structure, computed with GGA-PBE.

The crystal system is tetragonal. The value obtained for the uncorrected energy is -24.3 eV for the cell shown.

The structure belongs to space group P-4m2 (No. 115); the cell edges are 4.224, 4.224 and 6.112 Å and the angles 90.00°, 90.00° and 90.00°. The asymmetric unit holds Li at (0.000, 0.000, 0.000), Li at (0.000, 0.500, 0.237), Li at (0.500, 0.500, 0.500), Cd at (0.000, 0.000, 0.500), Ga at (0.500, 0.500, 0.000) and Ni at (0.000, 0.500, 0.780).